Record 1
This record from Alexandria describes a geometry-optimized ScIn2Ag structure. The functional is PBE.

Cell and atoms, written as POSCAR:
```
ScIn2Ag
1.0
3.270 0.000 0.000
0.000 3.270 0.000
0.000 0.000 8.034
In Sc Ag
2 1 1
Cartesian
0.000 0.000 7.952
0.000 0.000 4.098
1.635 1.635 2.008
1.635 1.635 6.025
```

Properties
E_form = -0.220 eV/atom
crystal system = tetragonal


Record 2
This record from Alexandria describes a geometry-optimized ScInSi2Ag structure. The functional is PBE.

Cell and atoms, written as POSCAR:
```
ScInSi2Ag
1.0
5.001 0.000 0.000
0.000 5.391 0.000
0.000 0.000 5.001
Si Ag In Sc
2 1 1 1
Cartesian
0.000 0.000 2.501
2.501 0.000 0.000
2.501 2.696 2.501
0.000 0.000 0.000
0.000 2.696 0.000
```

Properties
formation energy from raw total energies = 1.04 eV/atom
crystal system = tetragonal


Record 3
This record from Alexandria describes a geometry-optimized SmScInAg structure. The functional is PBE.

Cell and atoms, written as POSCAR:
```
SmScInAg
1.0
-3.392 3.523 1.680
-2.326 -0.627 4.575
1.225 3.082 3.967
Sm In Ag Sc
1 1 1 1
Cartesian
0.000 0.000 0.000
-1.123 1.494 2.555
-3.370 4.483 7.666
-2.247 2.989 5.111
```

Properties
E_form = -0.355 eV/atom
crystal system = cubic


Record 4
This record from Alexandria describes a geometry-optimized SmSc2In2Ag2 structure. The functional is PBE.

Cell and atoms, written as POSCAR:
```
SmSc2In2Ag2
1.0
-3.437 -3.222 0.705
-0.158 -3.938 -2.676
3.667 -6.360 4.903
Sc Ag In Sm
2 2 2 1
Cartesian
1.694 -4.748 2.647
-1.621 -8.771 0.284
0.946 -7.503 2.505
-0.873 -6.017 0.427
-0.115 -3.271 0.580
0.188 -10.249 2.351
0.000 0.000 0.000
```

Properties
E_form = -0.284 eV/atom
crystal system = trigonal


Record 5
This record from Alexandria describes a geometry-optimized SrScIn2Ag structure. The functional is PBE.

Cell and atoms, written as POSCAR:
```
SrScIn2Ag
1.0
6.521 0.000 0.000
0.000 5.775 0.000
0.000 0.000 6.521
Sr Sc In Ag
1 1 2 1
Cartesian
0.000 0.000 0.000
3.261 2.888 3.261
0.000 0.000 3.261
3.261 0.000 0.000
0.000 2.888 0.000
```

Properties
E_form = 1.012 eV/atom
crystal system = tetragonal


Record 6
This record from Alexandria describes a geometry-optimized SrScInAg structure. The functional is PBE.

Cell and atoms, written as POSCAR:
```
SrScInAg
1.0
5.302 0.000 0.000
2.651 4.592 0.000
2.651 1.531 4.329
Sc Ag In Sr
1 1 1 1
Cartesian
0.000 0.000 0.000
2.651 1.531 1.082
7.953 4.592 3.247
5.302 3.061 2.165
```

Properties
E_form = -0.218 eV/atom
crystal system = cubic


Density of states at the Fermi level
In order: 0.330 0.853 0.938 0.829 1.705 1.075
Unit: states/eV/atom